A plane-wave DFT calculation with PBE was carried out for a relaxed structure of Nd2Ga3Ge.

```
Nd2Ga3Ge
1.0
4.256 0.000 0.000
0.000 4.283 0.000
0.000 0.000 7.373
Nd Ga Ge
2 3 1
Direct
0.000 0.000 0.000 Nd
0.500 0.000 0.493 Nd
0.000 0.500 0.335 Ga
0.000 0.500 0.667 Ga
0.500 0.500 0.825 Ga
0.500 0.500 0.160 Ge
```

## Properties
SG	No. 25


A plane-wave DFT calculation with PBE was carried out for a relaxed structure of Nd6Ga2Ge.

```
Nd6Ga2Ge
1.0
-4.978 5.017 5.265
4.978 -5.017 5.265
4.978 5.017 -5.265
Nd Ga Ge
12 4 2
Direct
0.049 0.247 0.802 Nd
0.170 0.461 0.290 Nd
0.170 0.880 0.710 Nd
0.325 0.236 0.561 Nd
0.325 0.764 0.090 Nd
0.444 0.247 0.198 Nd
0.556 0.753 0.802 Nd
0.675 0.236 0.910 Nd
0.675 0.764 0.439 Nd
0.830 0.120 0.290 Nd
0.830 0.539 0.710 Nd
0.951 0.753 0.198 Nd
0.141 0.500 0.641 Ga
0.378 0.878 0.500 Ga
0.622 0.122 0.500 Ga
0.859 0.500 0.359 Ga
0.000 0.000 0.000 Ge
0.500 0.500 0.000 Ge
```

## Properties
SG	No. 71


A plane-wave DFT calculation with PBE was carried out for a relaxed structure of Nd4Ga3Ge.

```
Nd4Ga3Ge
1.0
4.123 0.000 0.000
0.000 4.489 0.000
0.000 0.000 11.328
Nd Ga Ge
4 3 1
Direct
0.000 0.000 0.000 Nd
0.000 0.500 0.498 Nd
0.500 0.000 0.280 Nd
0.500 0.500 0.781 Nd
0.000 0.000 0.714 Ga
0.000 0.500 0.212 Ga
0.500 0.000 0.568 Ga
0.500 0.500 0.065 Ge
```

## Properties
SG	No. 25


A plane-wave DFT calculation with PBE was carried out for a relaxed structure of NdGaGe.

```
NdGaGe
1.0
-2.116 2.116 4.183
2.116 -2.116 4.183
2.116 2.116 -4.183
Nd Ga Ge
1 1 1
Direct
0.000 0.000 0.000 Nd
0.651 0.651 0.000 Ga
0.351 0.351 0.000 Ge
```

## Properties
SG	No. 107


A plane-wave DFT calculation with PBE was carried out for a relaxed structure of Nd3GaGe2.

```
Nd3GaGe2
1.0
12.036 0.000 0.000
0.000 4.287 0.000
0.000 0.000 12.055
Nd Ga Ge
12 4 8
Direct
0.058 0.250 0.120 Nd
0.123 0.750 0.560 Nd
0.202 0.250 0.800 Nd
0.298 0.750 0.300 Nd
0.377 0.250 0.060 Nd
0.442 0.750 0.620 Nd
0.558 0.250 0.380 Nd
0.623 0.750 0.940 Nd
0.702 0.250 0.700 Nd
0.798 0.750 0.200 Nd
0.877 0.250 0.440 Nd
0.942 0.750 0.880 Nd
0.135 0.250 0.366 Ga
0.365 0.750 0.866 Ga
0.635 0.250 0.134 Ga
0.865 0.750 0.634 Ga
0.020 0.750 0.314 Ge
0.188 0.750 0.996 Ge
0.312 0.250 0.496 Ge
0.480 0.250 0.814 Ge
0.520 0.750 0.186 Ge
0.688 0.750 0.504 Ge
0.812 0.250 0.004 Ge
0.980 0.250 0.686 Ge
```

## Properties
SG	No. 62


A plane-wave DFT calculation with PBE was carried out for a relaxed structure of Nd3Ga2Ge3.

```
Nd3Ga2Ge3
1.0
2.134 -5.644 0.000
2.134 5.644 0.000
0.000 0.000 15.564
Nd Ga Ge
6 4 6
Direct
0.068 0.932 0.750 Nd
0.361 0.639 0.598 Nd
0.361 0.639 0.902 Nd
0.639 0.361 0.098 Nd
0.639 0.361 0.402 Nd
0.932 0.068 0.250 Nd
0.361 0.639 0.126 Ga
0.361 0.639 0.374 Ga
0.639 0.361 0.626 Ga
0.639 0.361 0.874 Ga
0.092 0.908 0.546 Ge
0.092 0.908 0.954 Ge
0.201 0.799 0.250 Ge
0.799 0.201 0.750 Ge
0.908 0.092 0.046 Ge
0.908 0.092 0.454 Ge
```

## Properties
SG	No. 63
offset from the most stable computed form	0	meV/atom


A plane-wave DFT calculation with PBE was carried out for a relaxed structure of NdGaGe.

```
NdGaGe
1.0
-2.141 3.722 4.198
2.141 -3.722 4.198
2.141 3.722 -4.198
Nd Ga Ge
2 2 2
Direct
0.246 0.246 0.000 Nd
0.754 0.754 0.000 Nd
0.337 0.000 0.337 Ga
0.663 0.000 0.663 Ga
0.171 0.500 0.671 Ge
0.829 0.500 0.329 Ge
```

## Properties
SG	No. 71


A plane-wave DFT calculation with PBE was carried out for a relaxed structure of Nd3Ga2Ge3.

```
Nd3Ga2Ge3
1.0
2.133 -5.679 0.000
2.133 5.679 0.000
0.000 0.000 15.149
Nd Ga Ge
6 4 6
Direct
0.062 0.938 0.613 Nd
0.062 0.938 0.887 Nd
0.347 0.653 0.750 Nd
0.653 0.347 0.250 Nd
0.938 0.062 0.113 Nd
0.938 0.062 0.387 Nd
0.223 0.777 0.107 Ga
0.223 0.777 0.393 Ga
0.777 0.223 0.607 Ga
0.777 0.223 0.893 Ga
0.376 0.624 0.250 Ge
0.379 0.621 0.539 Ge
0.379 0.621 0.961 Ge
0.621 0.379 0.039 Ge
0.621 0.379 0.461 Ge
0.624 0.376 0.750 Ge
```

## Properties
SG	No. 63
offset from the most stable computed form	4	meV/atom


So what do the calculations give for Fermi-level density of states? Going down the list: 0.30 1.02 0.91 0.53 0.66 0.53 0.33 0.75 states/eV per atom.
So what do the calculations give for E_tot? Going down the list: -4.587 -4.779 -4.770 -4.471 -5.162 -4.953 -4.817 -4.948 eV/atom.
So what do the calculations give for ΔH_f (0 K)? Going down the list: -4.291 -3.732 -5.389 -1.000 -4.408 -5.411 -2.038 -5.376 eV per formula unit.